[1]
## ZnPSeN2 (GGA-PBE)

Data for a relaxed ZnPSeN2 crystal.

a = 3.4008 Å, b = 3.4008 Å, c = 6.7871 Å
α = 90.00°, β = 90.00°, γ = 90.00°
With the nearest neighbours (Å) after each atom.
Positions (direct):
1 Zn 0.0000 0.0000 0.0000  4 Se 2.40
2 P 0.5000 0.5000 0.5000  4 N 1.70
3 Se 0.5000 0.5000 0.0000  4 Zn 2.40
4 N 0.0000 0.5000 0.5000  2 P 1.70
5 N 0.5000 0.0000 0.5000  2 P 1.70

Calculated values
* excess energy over the best structure of this formula in the dataset: 0.00 eV/f.u.
* formation energy without anion corrections: 0.65 eV/atom
* symmetry: No. 123
* total magnetic moment: 0.49 μB per formula unit

[2]
## YHo2Sb3 (GGA-PBE)

Data for a relaxed YHo2Sb3 crystal.

a = 7.5823 Å, b = 7.5823 Å, c = 7.5823 Å
α = 146.45°, β = 131.85°, γ = 59.96°
With the nearest neighbours (Å) after each atom.
Positions (direct):
1 Y 0.0000 0.0000 0.0000  6 Sb 3.09-3.10
2 Ho 0.3337 0.3337 0.0000  6 Sb 3.09
3 Ho 0.6663 0.6663 0.0000  6 Sb 3.09
4 Sb 0.1677 0.6677 0.5000  4 Ho 3.09, 2 Y 3.10
5 Sb 0.5000 0.0000 0.5000  4 Ho 3.09, 2 Y 3.09
6 Sb 0.8323 0.3323 0.5000  4 Ho 3.09, 2 Y 3.10

Calculated values
* formation energy without anion corrections: -1.13 eV/atom
* symmetry: No. 71
* total magnetic moment: 0.00 μB per formula unit

[3]
## In2AgIr (GGA-PBE)

Data for a relaxed In2AgIr crystal.

a = 6.1320 Å, b = 6.1320 Å, c = 6.1320 Å
α = 103.08°, β = 103.08°, γ = 123.19°
With the nearest neighbours (Å) after each atom.
Positions (direct):
1 In 0.0987 0.1250 0.4737  2 Ir 2.66, 2 Ag 2.93, 2 In 2.94
2 In 0.3750 0.9013 0.0263  2 Ir 2.66, 2 Ag 2.93, 2 In 2.94
3 In 0.6513 0.6250 0.5263  2 Ir 2.66, 2 Ag 2.93, 2 In 2.94
4 In 0.8750 0.3487 0.9737  2 Ir 2.66, 2 Ag 2.93, 2 In 2.94
5 Ag 0.2500 0.7500 0.5000  2 Ir 2.92, 4 In 2.93
6 Ag 0.5000 0.5000 0.0000  2 Ir 2.92, 4 In 2.93
7 Ir 0.0000 0.0000 0.0000  4 In 2.66, 2 Ag 2.92
8 Ir 0.7500 0.2500 0.5000  4 In 2.66, 2 Ag 2.92

Calculated values
* formation energy: 0.3025 eV/atom
* symmetry: No. 122
* total magnetic moment: 0.00 μB per formula unit

[4]
## K3TbHo2S6 (GGA-PBE)

Data for a relaxed K3TbHo2S6 crystal.

a = 7.0083 Å, b = 7.0083 Å, c = 7.7302 Å
α = 98.69°, β = 98.69°, γ = 120.00°
With the nearest neighbours (Å) after each atom.
Positions (direct):
1 K 0.0000 0.0000 0.0000  6 S 3.20-3.21
2 K 0.3335 0.6665 0.0000  6 S 3.20-3.22
3 K 0.6665 0.3335 0.0000  6 S 3.20-3.22
4 Tb 0.5000 0.5000 0.5000  6 S 2.78
5 Ho 0.1667 0.8333 0.5000  6 S 2.76
6 Ho 0.8333 0.1667 0.5000  6 S 2.76
7 S 0.0974 0.4329 0.2986  2 Ho 2.76, 1 Tb 2.78
8 S 0.2316 0.2316 0.7014  2 Ho 2.76, 1 Tb 2.78
9 S 0.4329 0.0974 0.2986  2 Ho 2.76, 1 Tb 2.78
10 S 0.5671 0.9026 0.7014  2 Ho 2.76, 1 Tb 2.78
11 S 0.7684 0.7684 0.2986  2 Ho 2.76, 1 Tb 2.78
12 S 0.9026 0.5671 0.7014  2 Ho 2.76, 1 Tb 2.78

Calculated values
* formation energy without anion corrections: -1.89 eV/atom
* symmetry: No. 12
* total magnetic moment: 0.00 μB per formula unit

[5]
## RbCrI2 (GGA-PBE)

Data for a relaxed RbCrI2 crystal.

a = 7.5439 Å, b = 7.5439 Å, c = 7.5439 Å
α = 110.50°, β = 110.50°, γ = 107.43°
With the nearest neighbours (Å) after each atom.
Positions (direct):
1 Rb 0.0000 0.0000 0.0000  4 I 3.74
2 Rb 0.7500 0.2500 0.5000  4 I 3.74
3 Cr 0.2500 0.7500 0.5000  4 I 2.82
4 Cr 0.5000 0.5000 0.0000  4 I 2.82
5 I 0.2062 0.1250 0.5812  2 Cr 2.82
6 I 0.3750 0.7938 0.9188  2 Cr 2.82
7 I 0.5438 0.6250 0.4188  2 Cr 2.82
8 I 0.8750 0.4562 0.0812  2 Cr 2.82

Calculated values
* excess energy over the best structure of this formula in the dataset: 0.00 eV/f.u.
* formation energy without anion corrections: -0.56 eV/atom
* symmetry: No. 122
* total magnetic moment: 5.00 μB per formula unit

[6]
## Pu2CdRe (GGA-PBE)

Data for a relaxed Pu2CdRe crystal.

a = 3.2107 Å, b = 3.2107 Å, c = 8.7499 Å
α = 90.00°, β = 90.00°, γ = 90.00°
With the nearest neighbours (Å) after each atom.
Positions (direct):
1 Pu 0.0000 0.0000 0.2085  4 Re 2.91, 4 Pu 3.21
2 Pu 0.0000 0.0000 0.7915  4 Re 2.91, 4 Pu 3.21
3 Cd 0.5000 0.5000 0.5000  4 Cd 3.21, 8 Pu 3.41
4 Re 0.5000 0.5000 0.0000  8 Pu 2.91, 4 Re 3.21

Calculated values
* formation energy: 0.0421 eV/atom
* symmetry: No. 123
* total magnetic moment: 10.18 μB per formula unit

[7]
## Er7SnRu4 (GGA-PBE)

Data for a relaxed Er7SnRu4 crystal.

a = 7.2522 Å, b = 7.2522 Å, c = 9.5654 Å
α = 122.99°, β = 122.99°, γ = 44.24°
With the nearest neighbours (Å) after each atom.
Positions (direct):
1 Er 0.0000 0.0000 0.0000  2 Sn 2.73, 4 Ru 2.75-2.80
2 Er 0.1811 0.1811 0.6323  2 Ru 2.61-2.84
3 Er 0.2866 0.2866 0.1226  4 Ru 2.87-3.18, 1 Er 3.13
4 Er 0.4255 0.4255 0.6267  1 Ru 2.61
5 Er 0.5745 0.5745 0.3733  1 Ru 2.61
6 Er 0.7134 0.7134 0.8774  4 Ru 2.87-3.18, 1 Er 3.13
7 Er 0.8189 0.8189 0.3677  2 Ru 2.61-2.84
8 Sn 0.5000 0.5000 0.0000  2 Er 2.73
9 Ru 0.0653 0.0653 0.7763  3 Er 2.61-2.87
10 Ru 0.1987 0.1987 0.3508  3 Er 2.61-2.84
11 Ru 0.8013 0.8013 0.6492  3 Er 2.61-2.84
12 Ru 0.9347 0.9347 0.2237  3 Er 2.61-2.87

Calculated values
* formation energy: -0.1414 eV/atom
* symmetry: No. 12
* total magnetic moment: 0.00 μB per formula unit

[8]
## CsGa3Te (GGA-PBE)

Data for a relaxed CsGa3Te crystal.

a = 5.8680 Å, b = 5.8680 Å, c = 5.8680 Å
α = 90.00°, β = 90.00°, γ = 90.00°
With the nearest neighbours (Å) after each atom.
Positions (direct):
1 Cs 0.0000 0.0000 0.0000  12 Ga 4.15
2 Ga 0.0000 0.5000 0.5000  2 Te 2.93
3 Ga 0.5000 0.0000 0.5000  2 Te 2.93
4 Ga 0.5000 0.5000 0.0000  2 Te 2.93
5 Te 0.5000 0.5000 0.5000  6 Ga 2.93

Calculated values
* excess energy over the best structure of this formula in the dataset: 0.00 eV/f.u.
* formation energy without anion corrections: 0.28 eV/atom
* symmetry: No. 221
* total magnetic moment: 0.00 μB per formula unit

[9]
## Ac5NdTm (GGA-PBE)

Data for a relaxed Ac5NdTm crystal.

a = 8.6602 Å, b = 8.6602 Å, c = 8.6602 Å
α = 138.16°, β = 111.61°, γ = 83.50°
With the nearest neighbours (Å) after each atom.
Positions (direct):
1 Ac 0.0000 0.0000 0.0000  2 Tm 3.09
2 Ac 0.2485 0.7485 0.5000  1 Tm 3.21, 1 Nd 3.25
3 Ac 0.3152 0.5000 0.8152  1 Tm 3.07
4 Ac 0.6848 0.5000 0.1848  1 Tm 3.07
5 Ac 0.7515 0.2515 0.5000  1 Tm 3.21, 1 Nd 3.25
6 Nd 0.5000 0.0000 0.5000  6 Ac 3.25-3.58
7 Tm 0.0000 0.5000 0.5000  6 Ac 3.07-3.21

Calculated values
* formation energy: 0.8542 eV/atom
* symmetry: No. 71
* total magnetic moment: 0.00 μB per formula unit

[10]
## In2GaAu4 (GGA-PBE)

Data for a relaxed In2GaAu4 crystal.

a = 6.6665 Å, b = 5.4488 Å, c = 9.3448 Å
α = 90.00°, β = 110.41°, γ = 90.00°
With the nearest neighbours (Å) after each atom.
Positions (direct):
1 In 0.0375 0.2500 0.1076  6 Au 2.80-2.99
2 In 0.4269 0.2500 0.8924  6 Au 2.81-3.00
3 In 0.5731 0.7500 0.1076  6 Au 2.81-3.00
4 In 0.9625 0.7500 0.8924  6 Au 2.80-2.99
5 Ga 0.2981 0.7500 0.4995  6 Au 2.61-2.81
6 Ga 0.7019 0.2500 0.5005  6 Au 2.61-2.81
7 Au 0.0826 0.0001 0.6627  5 Au 2.72-3.03, 2 Ga 2.79-2.81, 2 In 2.88
8 Au 0.0826 0.4999 0.6627  5 Au 2.72-3.03, 2 Ga 2.79-2.81, 2 In 2.88
9 Au 0.2204 0.7500 0.2056  1 Ga 2.61, 2 In 2.81-2.83
10 Au 0.4852 0.2500 0.2070  1 Ga 2.62, 2 In 2.80-2.83
11 Au 0.5148 0.7500 0.7930  1 Ga 2.62, 2 In 2.80-2.83
12 Au 0.7796 0.2500 0.7944  1 Ga 2.61, 2 In 2.81-2.83
13 Au 0.9174 0.9999 0.3373  5 Au 2.72-3.03, 2 Ga 2.79-2.81, 2 In 2.88
14 Au 0.9174 0.5001 0.3373  5 Au 2.72-3.03, 2 Ga 2.79-2.81, 2 In 2.88

Calculated values
* excess energy over the best structure of this formula in the dataset: 0.00 eV/f.u.
* formation energy: -0.1120 eV/atom
* symmetry: No. 11
* total magnetic moment: 0.00 μB per formula unit

[11]
## ZnInSb (GGA-PBE)

Data for a relaxed ZnInSb crystal.

a = 4.7974 Å, b = 4.7974 Å, c = 4.7974 Å
α = 60.00°, β = 60.00°, γ = 60.00°
With the nearest neighbours (Å) after each atom.
Positions (direct):
1 Zn 0.0000 0.0000 0.0000  4 In 2.94, 4 Sb 2.94
2 In 0.2500 0.2500 0.2500  4 Zn 2.94
3 Sb 0.7500 0.7500 0.7500  4 Zn 2.94

Calculated values
* formation energy without anion corrections: 0.04 eV/atom
* symmetry: No. 216
* total magnetic moment: 0.00 μB per formula unit